(P)
Computed, not measured: crystalline La2PmNd6 at its relaxed geometry at the GGA-PBE level of DFT.

```
data_La2PmNd6
_space_group_name_H-M_alt 'P 1'
_space_group_IT_number 1
_space_group_name_Hall 'P 1'
_cell_length_a 10.416
_cell_length_b 10.416
_cell_length_c 10.416
_cell_angle_alpha 160.66
_cell_angle_beta 119.70
_cell_angle_gamma 63.96
loop_
_atom_site_label
_atom_site_fract_x
_atom_site_fract_y
_atom_site_fract_z
La1 0.167 0.167 0.000
La2 0.833 0.833 0.000
Pm1 0.500 0.500 0.000
Nd1 0.148 0.334 0.814
Nd2 0.189 0.000 0.189
Nd3 0.481 0.666 0.814
Nd4 0.519 0.334 0.186
Nd5 0.811 0.000 0.811
Nd6 0.852 0.666 0.186
```

Results
Its symmetry is Immm (71).


(Q)
Computed, not measured: crystalline La2PmNd6 at its relaxed geometry at the GGA-PBE level of DFT.

```
data_La2PmNd6
_space_group_name_H-M_alt 'P 1'
_space_group_IT_number 1
_space_group_name_Hall 'P 1'
_cell_length_a 8.288
_cell_length_b 8.288
_cell_length_c 10.631
_cell_angle_alpha 90.00
_cell_angle_beta 90.00
_cell_angle_gamma 90.00
loop_
_atom_site_label
_atom_site_fract_x
_atom_site_fract_y
_atom_site_fract_z
La1 0.000 0.000 0.150
La2 0.000 0.000 0.850
La3 0.500 0.500 0.350
La4 0.500 0.500 0.650
Pm1 0.000 0.000 0.500
Pm2 0.500 0.500 0.000
Nd1 0.236 0.236 0.331
Nd2 0.236 0.236 0.669
Nd3 0.238 0.238 0.000
Nd4 0.262 0.738 0.500
Nd5 0.264 0.736 0.169
Nd6 0.264 0.736 0.831
Nd7 0.736 0.264 0.169
Nd8 0.736 0.264 0.831
Nd9 0.738 0.262 0.500
Nd10 0.762 0.762 0.000
Nd11 0.764 0.764 0.331
Nd12 0.764 0.764 0.669
```

Results
Its symmetry is P4_2/mnm (136).


In kJ/mol of atoms, relative to the most stable structure: (P) 0.0; (Q) 41.6.


(P)
Computed, not measured: crystalline La5Pm3Nd at its relaxed geometry at the GGA-PBE level of DFT.

```
data_La5Pm3Nd
_space_group_name_H-M_alt 'P 1'
_space_group_IT_number 1
_space_group_name_Hall 'P 1'
_cell_length_a 10.247
_cell_length_b 10.247
_cell_length_c 10.247
_cell_angle_alpha 128.05
_cell_angle_beta 128.05
_cell_angle_gamma 76.54
loop_
_atom_site_label
_atom_site_fract_x
_atom_site_fract_y
_atom_site_fract_z
La1 0.000 0.000 0.000
La2 0.062 0.562 0.900
La3 0.161 0.062 0.500
La4 0.339 0.839 0.900
La5 0.438 0.339 0.500
La6 0.500 0.500 0.000
La7 0.562 0.661 0.500
La8 0.661 0.161 0.100
La9 0.839 0.938 0.500
La10 0.938 0.438 0.100
Pm1 0.119 0.381 0.500
Pm2 0.250 0.250 0.000
Pm3 0.381 0.881 0.263
Pm4 0.619 0.119 0.737
Pm5 0.750 0.750 0.000
Pm6 0.881 0.619 0.500
Nd1 0.250 0.750 0.500
Nd2 0.750 0.250 0.500
```

Results
Its symmetry is I4/mcm (140).


(Q)
Computed, not measured: crystalline La5Pm3Nd at its relaxed geometry at the GGA-PBE level of DFT.

```
data_La5Pm3Nd
_space_group_name_H-M_alt 'P 1'
_space_group_IT_number 1
_space_group_name_Hall 'P 1'
_cell_length_a 10.129
_cell_length_b 10.129
_cell_length_c 11.592
_cell_angle_alpha 113.33
_cell_angle_beta 113.33
_cell_angle_gamma 38.37
loop_
_atom_site_label
_atom_site_fract_x
_atom_site_fract_y
_atom_site_fract_z
La1 0.024 0.641 0.287
La2 0.093 0.907 0.750
La3 0.152 0.509 0.638
La4 0.359 0.976 0.213
La5 0.491 0.848 0.862
La6 0.509 0.152 0.138
La7 0.641 0.024 0.787
La8 0.848 0.491 0.362
La9 0.907 0.093 0.250
La10 0.976 0.359 0.713
Pm1 0.043 0.635 0.985
Pm2 0.365 0.957 0.515
Pm3 0.500 0.500 0.000
Pm4 0.500 0.500 0.500
Pm5 0.635 0.043 0.485
Pm6 0.957 0.365 0.015
Nd1 0.367 0.633 0.250
Nd2 0.633 0.367 0.750
```

Results
Its symmetry is C2/c (15).


In kJ/mol of atoms, relative to the most stable structure: (P) 1.3; (Q) 0.0.


(P)
Computed, not measured: crystalline La4Pm5Nd3 at its relaxed geometry at the GGA-PBE level of DFT.

```
data_La4Pm5Nd3
_space_group_name_H-M_alt 'P 1'
_space_group_IT_number 1
_space_group_name_Hall 'P 1'
_cell_length_a 8.831
_cell_length_b 8.831
_cell_length_c 9.548
_cell_angle_alpha 114.51
_cell_angle_beta 114.51
_cell_angle_gamma 40.66
loop_
_atom_site_label
_atom_site_fract_x
_atom_site_fract_y
_atom_site_fract_z
La1 0.084 0.084 0.440
La2 0.212 0.212 0.878
La3 0.788 0.788 0.122
La4 0.916 0.916 0.560
Pm1 0.000 0.000 0.000
Pm2 0.329 0.329 0.609
Pm3 0.427 0.427 0.302
Pm4 0.573 0.573 0.698
Pm5 0.671 0.671 0.391
Nd1 0.209 0.209 0.225
Nd2 0.500 0.500 0.000
Nd3 0.791 0.791 0.775
```

Results
Its symmetry is C2/m (12).


(Q)
Computed, not measured: crystalline La4Pm5Nd3 at its relaxed geometry at the GGA-PBE level of DFT.

```
data_La4Pm5Nd3
_space_group_name_H-M_alt 'P 1'
_space_group_IT_number 1
_space_group_name_Hall 'P 1'
_cell_length_a 6.404
_cell_length_b 7.356
_cell_length_c 9.054
_cell_angle_alpha 90.26
_cell_angle_beta 90.12
_cell_angle_gamma 90.05
loop_
_atom_site_label
_atom_site_fract_x
_atom_site_fract_y
_atom_site_fract_z
La1 0.167 0.000 0.168
La2 0.333 0.251 0.832
La3 0.667 0.749 0.168
La4 0.833 0.000 0.832
Pm1 0.001 0.749 0.500
Pm2 0.166 0.500 0.168
Pm3 0.500 0.000 0.500
Pm4 0.834 0.500 0.832
Pm5 0.999 0.251 0.500
Nd1 0.333 0.749 0.832
Nd2 0.500 0.500 0.500
Nd3 0.667 0.251 0.168
```

Results
Its symmetry is P-1 (2).


In kJ/mol of atoms, relative to the most stable structure: (P) 16.6; (Q) 0.0.


(P)
Computed, not measured: crystalline La5Pm2Nd4 at its relaxed geometry at the GGA-PBE level of DFT.

```
data_La5Pm2Nd4
_space_group_name_H-M_alt 'P 1'
_space_group_IT_number 1
_space_group_name_Hall 'P 1'
_cell_length_a 12.563
_cell_length_b 12.563
_cell_length_c 8.937
_cell_angle_alpha 94.72
_cell_angle_beta 94.72
_cell_angle_gamma 16.58
loop_
_atom_site_label
_atom_site_fract_x
_atom_site_fract_y
_atom_site_fract_z
La1 0.000 0.000 0.000
La2 0.317 0.317 0.526
La3 0.368 0.368 0.949
La4 0.632 0.632 0.051
La5 0.683 0.683 0.474
Pm1 0.087 0.087 0.696
Pm2 0.913 0.913 0.304
Nd1 0.227 0.227 0.825
Nd2 0.459 0.459 0.654
Nd3 0.541 0.541 0.346
Nd4 0.773 0.773 0.175
```

Results
Its symmetry is C2/m (12).


(Q)
Computed, not measured: crystalline La5Pm2Nd4 at its relaxed geometry at the GGA-PBE level of DFT.

```
data_La5Pm2Nd4
_space_group_name_H-M_alt 'P 1'
_space_group_IT_number 1
_space_group_name_Hall 'P 1'
_cell_length_a 9.136
_cell_length_b 3.593
_cell_length_c 12.079
_cell_angle_alpha 90.00
_cell_angle_beta 94.35
_cell_angle_gamma 90.00
loop_
_atom_site_label
_atom_site_fract_x
_atom_site_fract_y
_atom_site_fract_z
La1 0.000 0.000 0.000
La2 0.072 0.000 0.289
La3 0.302 0.000 0.831
La4 0.698 0.000 0.169
La5 0.928 0.000 0.711
Pm1 0.446 0.000 0.364
Pm2 0.554 0.000 0.636
Nd1 0.206 0.500 0.548
Nd2 0.345 0.500 0.104
Nd3 0.655 0.500 0.896
Nd4 0.794 0.500 0.452
```

Results
Its symmetry is P2/m (10).


In kJ/mol of atoms, relative to the most stable structure: (P) 1.3; (Q) 0.0.


(P)
Computed, not measured: crystalline LaPm5Nd at its relaxed geometry at the GGA-PBE level of DFT.

```
data_LaPm5Nd
_space_group_name_H-M_alt 'P 1'
_space_group_IT_number 1
_space_group_name_Hall 'P 1'
_cell_length_a 8.011
_cell_length_b 8.011
_cell_length_c 8.011
_cell_angle_alpha 137.16
_cell_angle_beta 112.97
_cell_angle_gamma 82.90
loop_
_atom_site_label
_atom_site_fract_x
_atom_site_fract_y
_atom_site_fract_z
La1 0.000 0.000 0.000
Pm1 0.180 0.500 0.680
Pm2 0.248 0.248 0.000
Pm3 0.500 0.000 0.500
Pm4 0.752 0.752 0.000
Pm5 0.820 0.500 0.320
Nd1 0.500 0.500 0.000
```

Results
Its symmetry is Immm (71).


(Q)
Computed, not measured: crystalline LaPm5Nd at its relaxed geometry at the GGA-PBE level of DFT.

```
data_LaPm5Nd
_space_group_name_H-M_alt 'P 1'
_space_group_IT_number 1
_space_group_name_Hall 'P 1'
_cell_length_a 6.984
_cell_length_b 6.984
_cell_length_c 12.501
_cell_angle_alpha 108.20
_cell_angle_beta 108.20
_cell_angle_gamma 59.96
loop_
_atom_site_label
_atom_site_fract_x
_atom_site_fract_y
_atom_site_fract_z
La1 0.029 0.971 0.750
La2 0.971 0.029 0.250
Pm1 0.152 0.409 0.749
Pm2 0.197 0.650 0.501
Pm3 0.350 0.803 0.999
Pm4 0.409 0.152 0.249
Pm5 0.409 0.591 0.250
Pm6 0.591 0.409 0.750
Pm7 0.591 0.848 0.751
Pm8 0.650 0.197 0.001
Pm9 0.803 0.350 0.499
Pm10 0.848 0.591 0.251
Nd1 0.000 0.500 0.000
Nd2 0.500 0.000 0.500
```

Results
Its symmetry is C2/c (15).


In kJ/mol of atoms, relative to the most stable structure: (P) 77.1; (Q) 0.0.


(P)
Computed, not measured: crystalline La4Pm2Nd at its relaxed geometry at the GGA-PBE level of DFT.

```
data_La4Pm2Nd
_space_group_name_H-M_alt 'P 1'
_space_group_IT_number 1
_space_group_name_Hall 'P 1'
_cell_length_a 6.960
_cell_length_b 6.960
_cell_length_c 6.960
_cell_angle_alpha 103.91
_cell_angle_beta 103.91
_cell_angle_gamma 121.29
loop_
_atom_site_label
_atom_site_fract_x
_atom_site_fract_y
_atom_site_fract_z
La1 0.234 0.234 0.599
La2 0.365 0.766 0.000
La3 0.635 0.635 0.401
La4 0.766 0.365 0.000
Pm1 0.250 0.750 0.500
Pm2 0.750 0.250 0.500
Nd1 0.000 0.000 0.000
```

Results
Its symmetry is I-42m (121).


(Q)
Computed, not measured: crystalline La4Pm2Nd at its relaxed geometry at the GGA-PBE level of DFT.

```
data_La4Pm2Nd
_space_group_name_H-M_alt 'P 1'
_space_group_IT_number 1
_space_group_name_Hall 'P 1'
_cell_length_a 12.193
_cell_length_b 12.193
_cell_length_c 12.193
_cell_angle_alpha 162.76
_cell_angle_beta 151.63
_cell_angle_gamma 33.39
loop_
_atom_site_label
_atom_site_fract_x
_atom_site_fract_y
_atom_site_fract_z
La1 0.083 0.083 0.000
La2 0.363 0.363 0.000
La3 0.637 0.637 0.000
La4 0.917 0.917 0.000
Pm1 0.224 0.724 0.500
Pm2 0.776 0.276 0.500
Nd1 0.500 0.000 0.500
```

Results
Its symmetry is Immm (71).


In kJ/mol of atoms, relative to the most stable structure: (P) 6.2; (Q) 0.0.